Compound: InP2WO
Source: the Alexandria database
Functional: GGA+U
Structure: relaxed

Lattice parameters (Å, degrees): 5.0601 5.0601 3.9686 90.00 90.00 90.00
Closest atoms and distances in Å follow each position.
Space group P4/mmm (No. 123)
Unique sites:
In (0.0000, 0.0000, 0.0000)  2 O 1.98
P (0.0000, 0.5000, 0.0000)  2 In 2.53
W (0.5000, 0.5000, 0.5000)  8 P 3.22, 4 O 3.58
O (0.0000, 0.0000, 0.5000)  2 In 1.98

Properties
Magnetization, μB per formula unit: 2.5
Total DFT energy (no corrections), eV/f.u.: -21.03
D(E_F), states/eV per cell: 4.285